Record 1
## Be7Mo6 (SCAN)

Data for Be7Mo6 at its PBEsol-relaxed geometry.

Unit cell a=4.5558 b=4.5558 c=8.6472 alpha=74.73 beta=74.73 gamma=60.00
Closest atoms and distances in Å follow each position.
Fractional coordinates of all 13 atoms:
Be 0.4058 0.4058 0.2752  5 Be 2.24-2.31
Be 0.9131 0.4058 0.2752  5 Be 2.24-2.31
Be 0.4058 0.9131 0.2752  5 Be 2.24-2.31
Be 0.5942 0.5942 0.7248  5 Be 2.24-2.31
Be 0.5942 0.0869 0.7248  5 Be 2.24-2.31
Be 0.0869 0.5942 0.7248  5 Be 2.24-2.31
Be 0.5000 0.5000 0.5000  6 Be 2.28
Mo 0.9516 0.9516 0.1452  2 Mo 2.39-2.48, 6 Be 2.52
Mo 0.0484 0.0484 0.8548  2 Mo 2.39-2.48, 6 Be 2.52
Mo 0.8514 0.8514 0.4459  1 Mo 2.48, 12 Be 2.64-2.68
Mo 0.1486 0.1486 0.5541  1 Mo 2.48, 12 Be 2.64-2.68
Mo 0.6639 0.6639 0.0084  6 Be 2.57-2.67, 6 Mo 2.63-2.86
Mo 0.3361 0.3361 0.9916  6 Be 2.57-2.67, 6 Mo 2.63-2.86

Calculated values
As for the space group: R-3m, No. 166. For the formation energy, the calculation gives -0.185 eV/atom. The total energy is -18.6303 eV/atom.

Record 2
## BeMo (SCAN)

Data for BeMo at its PBEsol-relaxed geometry.

Unit cell a=2.5048 b=4.3617 c=4.7031 alpha=106.10 beta=105.44 gamma=90.00
Closest atoms and distances in Å follow each position.
Fractional coordinates of all 4 atoms:
Be 0.1550 0.3501 0.3100  2 Be 2.22
Be 0.8450 0.6499 0.6900  2 Be 2.22
Mo 0.5986 0.8170 0.1972  3 Mo 2.50-2.72, 7 Be 2.53-2.56
Mo 0.4014 0.1830 0.8028  3 Mo 2.50-2.72, 7 Be 2.53-2.56

Calculated values
As for the space group: C2/m, No. 12. For the formation energy, the calculation gives 0.049 eV/atom. The offset from the most stable computed form is 271 meV per atom. The total energy is -19.5708 eV/atom.

Record 3
## Be4Mo3 (SCAN)

Data for Be4Mo3 at its PBEsol-relaxed geometry.

Unit cell a=2.6378 b=2.6378 c=11.4834 alpha=96.60 beta=96.60 gamma=90.00
Closest atoms and distances in Å follow each position.
Fractional coordinates of all 7 atoms:
Be 0.8755 0.8755 0.7511  4 Be 2.17
Be 0.1245 0.1245 0.2489  4 Be 2.17
Be 0.5759 0.5759 0.1519  4 Be 2.17
Be 0.4241 0.4241 0.8481  4 Be 2.17
Mo 0.0000 0.0000 0.0000  10 Be 2.54-2.82, 4 Mo 2.64
Mo 0.6993 0.6993 0.3985  5 Be 2.52-2.79, 4 Mo 2.64
Mo 0.3007 0.3007 0.6015  5 Be 2.52-2.79, 4 Mo 2.64

Calculated values
As for the space group: I4/mmm, No. 139. For the formation energy, the calculation gives 0.078 eV/atom. The total energy is -17.3605 eV/atom.

Record 4
## BeMo (SCAN)

Data for BeMo at its PBEsol-relaxed geometry.

Unit cell a=3.4777 b=3.4777 c=4.6817 alpha=111.80 beta=111.80 gamma=90.00
Closest atoms and distances in Å follow each position.
Fractional coordinates of all 4 atoms:
Be 0.2500 0.7500 0.5000  8 Mo 2.46-2.64, 4 Be 2.64
Be 0.0000 0.0000 0.0000  8 Mo 2.46-2.64, 4 Be 2.64
Mo 0.7500 0.2500 0.5000  8 Be 2.46-2.64, 4 Mo 2.64
Mo 0.5000 0.5000 0.0000  8 Be 2.46-2.64, 4 Mo 2.64

Calculated values
As for the space group: I4_1/amd, No. 141. For the formation energy, the calculation gives 0.048 eV/atom. The offset from the most stable computed form is 270 meV per atom. The total energy is -19.5716 eV/atom.